Record 1
MnFe3Ni12 after structural relaxation. Source: Alexandria via LeMat-Bulk, functional PBE.

Values from the calculation:
- D(E_F) (states/eV per cell) = 11.6
- crystal system = tetragonal

Cell lengths 3.549, 3.549, 14.226 Å; angles 90.00, 90.00, 90.00 degrees
Space group P4/mmm (No. 123)
Asymmetric unit:
Mn: 0.000 0.000 0.000
Fe: 0.000 0.000 0.250
Fe: 0.000 0.000 0.500
Ni: 0.000 0.500 0.128
Ni: 0.000 0.500 0.376
Ni: 0.500 0.500 0.000
Ni: 0.500 0.500 0.251
Ni: 0.500 0.500 0.500



Record 2
MnFeNi6 after structural relaxation. Source: Alexandria via LeMat-Bulk, functional PBE.

Values from the calculation:
- D(E_F) (states/eV per cell) = 25.0
- crystal system = monoclinic
- offset from the most stable computed form (meV/atom) = 366.2

Cell lengths 7.056, 4.754, 6.375 Å; angles 90.00, 107.99, 90.00 degrees
Space group C2/m (No. 12)
Asymmetric unit:
Mn: 0.000 0.000 0.000
Fe: 0.000 0.500 0.500
Ni: 0.134 0.000 0.428
Ni: 0.204 0.239 0.799



Record 3
MnFeNi6 after structural relaxation. Source: Alexandria via LeMat-Bulk, functional PBE.

Values from the calculation:
- D(E_F) (states/eV per cell) = 41.5
- crystal system = orthorhombic
- offset from the most stable computed form (meV/atom) = 0.0

Cell lengths 7.114, 10.053, 10.065 Å; angles 90.00, 90.00, 90.00 degrees
Space group Cmmm (No. 65)
Asymmetric unit:
Mn: 0.000 0.000 0.250
Mn: 0.000 0.249 0.000
Fe: 0.000 0.249 0.500
Fe: 0.000 0.500 0.249
Ni: 0.000 0.000 0.000
Ni: 0.000 0.000 0.500
Ni: 0.000 0.251 0.252
Ni: 0.000 0.500 0.000
Ni: 0.000 0.500 0.500
Ni: 0.248 0.374 0.376
Ni: 0.248 0.376 0.126



Record 4
MnFe5Ni6 after structural relaxation. Source: Alexandria via LeMat-Bulk, functional PBE.

Values from the calculation:
- D(E_F) (states/eV per cell) = 19.3
- crystal system = orthorhombic

Cell lengths 3.597, 10.737, 7.111 Å; angles 90.00, 90.00, 90.00 degrees
Space group Cmmm (No. 65)
Asymmetric unit:
Mn: 0.000 0.000 0.000
Fe: 0.000 0.000 0.500
Fe: 0.000 0.328 0.000
Fe: 0.000 0.334 0.500
Ni: 0.000 0.167 0.253
Ni: 0.000 0.500 0.250



Record 5
Mn2FeNi after structural relaxation. Source: Alexandria via LeMat-Bulk, functional PBE.

Values from the calculation:
- D(E_F) (states/eV per cell) = 12.4
- crystal system = orthorhombic
- offset from the most stable computed form (meV/atom) = 205.6

Cell lengths 2.906, 3.974, 8.019 Å; angles 90.00, 90.00, 90.00 degrees
Space group Imm2 (No. 44)
Asymmetric unit:
Mn: 0.000 0.000 0.000
Mn: 0.000 0.500 0.251
Fe: 0.000 0.000 0.505
Ni: 0.000 0.500 0.753



Record 6
Mn2FeNi after structural relaxation. Source: Alexandria via LeMat-Bulk, functional PBE.

Values from the calculation:
- D(E_F) (states/eV per cell) = 14.5
- crystal system = trigonal
- offset from the most stable computed form (meV/atom) = 148.4

Cell lengths 2.4651, 2.4651, 24.3972 Å; angles 90.00, 90.00, 120.00 degrees
Space group R-3m (No. 166, hexagonal axes)
Asymmetric unit:
Mn: 0.0000 0.0000 0.2481
Fe: 0.0000 0.0000 0.5000
Ni: 0.0000 0.0000 0.0000



Record 7
Mn2FeNi after structural relaxation. Source: Alexandria via LeMat-Bulk, functional PBE.

Values from the calculation:
- D(E_F) (states/eV per cell) = 11.6
- crystal system = monoclinic
- offset from the most stable computed form (meV/atom) = 126.9

Cell lengths 8.347, 2.507, 4.322 Å; angles 90.00, 100.17, 90.00 degrees
Space group Cm (No. 8)
Asymmetric unit:
Mn: 0.000 0.000 0.000
Mn: 0.249 0.000 0.746
Fe: 0.248 0.500 0.249
Ni: 0.498 0.000 0.495



Record 8
Mn2FeNi after structural relaxation. Source: Alexandria via LeMat-Bulk, functional PBE.

Values from the calculation:
- D(E_F) (states/eV per cell) = 4.5
- crystal system = orthorhombic
- offset from the most stable computed form (meV/atom) = 90.2

Cell lengths 2.488, 3.566, 4.973 Å; angles 90.00, 90.00, 90.00 degrees
Space group Pmmm (No. 47)
Asymmetric unit:
Mn: 0.000 0.000 0.249
Fe: 0.500 0.500 0.000
Ni: 0.500 0.500 0.500



Record 9
Mn2FeNi after structural relaxation. Source: Alexandria via LeMat-Bulk, functional PBE.

Values from the calculation:
- D(E_F) (states/eV per cell) = 3.1
- crystal system = orthorhombic
- offset from the most stable computed form (meV/atom) = 39.6

Cell lengths 2.527, 3.564, 5.055 Å; angles 90.00, 90.00, 90.00 degrees
Space group Pmm2 (No. 25)
Asymmetric unit:
Mn: 0.000 0.000 0.000
Mn: 0.500 0.500 0.252
Fe: 0.500 0.500 0.748
Ni: 0.000 0.000 0.506



Record 10
MnFe3Ni6 after structural relaxation. Source: Alexandria via LeMat-Bulk, functional PBE.

Values from the calculation:
- D(E_F) (states/eV per cell) = 14.3
- crystal system = monoclinic

Cell lengths 7.953, 3.583, 8.002 Å; angles 90.00, 90.34, 90.00 degrees
Space group P2_1/m (No. 11)
Asymmetric unit:
Mn: 0.055 0.250 0.390
Fe: 0.250 0.250 0.003
Fe: 0.348 0.750 0.797
Fe: 0.446 0.250 0.600
Ni: 0.051 0.750 0.904
Ni: 0.148 0.250 0.702
Ni: 0.154 0.750 0.197
Ni: 0.251 0.750 0.497
Ni: 0.355 0.250 0.298
Ni: 0.451 0.750 0.099



Record 11
MnFeNi4 after structural relaxation. Source: Alexandria via LeMat-Bulk, functional PBE.

Values from the calculation:
- D(E_F) (states/eV per cell) = 31.5
- crystal system = cubic
- offset from the most stable computed form (meV/atom) = 95.6

Cell lengths 6.593, 6.593, 6.593 Å; angles 90.00, 90.00, 90.00 degrees
Space group F-43m (No. 216)
Asymmetric unit:
Mn: 0.000 0.000 0.000
Fe: 0.250 0.250 0.250
Ni: 0.125 0.125 0.625



Record 12
Mn2FeNi after structural relaxation. Source: Alexandria via LeMat-Bulk, functional PBE.

Values from the calculation:
- D(E_F) (states/eV per cell) = 6.2
- crystal system = tetragonal
- offset from the most stable computed form (meV/atom) = 16.3

Cell lengths 3.564, 3.564, 7.218 Å; angles 90.00, 90.00, 90.00 degrees
Space group I-4m2 (No. 119)
Asymmetric unit:
Mn: 0.000 0.000 0.000
Mn: 0.000 0.500 0.250
Fe: 0.000 0.000 0.500
Ni: 0.000 0.500 0.750



Total DFT energy (no corrections)? In order: -6.593 -6.281 -6.647 -7.225 -7.984 -8.041 -8.063 -8.099 -8.150 -6.987 -6.730 -8.173 eV per atom.